{"formula": "NaLiFe2Ir", "functional": "PBE", "state": "optimized geometry", "lattice_angstrom": [[-3.294, 1.877, -2.432], [-3.026, -2.600, 2.091], [-0.555, 3.300, 3.299]], "species": ["Na", "Ir", "Fe", "Fe", "Li"], "frac_coords": [[0.000, 0.000, 0.000], [0.000, 0.000, 0.500], [0.000, 0.500, 0.000], [0.500, 0.000, 0.000], [0.500, 0.500, 0.500]], "dos_ef_per_ev_cell": 4.87, "crystal_system": "tetragonal", "e_tot_ev_per_atom": -3.98, "e_form_kj_per_mol_fu": 878}